# Zr2RuBr SCAN single point on PBEsol structure
# M_tot in μB/f.u.: 0.00
# Energy relative to the elements, uncorrected in eV/atom: -0.161
# Symmetry: No. 71
# Offset from the most stable computed form in kJ/mol of atoms: 43.0
data_Zr2RuBr
_symmetry_space_group_name_H-M 'P 1'
_symmetry_Int_Tables_number 1
_symmetry_space_group_name_Hall 'P 1'
_cell_length_a 3.980
_cell_length_b 4.884
_cell_length_c 4.884
_cell_angle_alpha 64.47
_cell_angle_beta 65.95
_cell_angle_gamma 65.95
loop_
_atom_site_label
_atom_site_type_symbol
_atom_site_fract_x
_atom_site_fract_y
_atom_site_fract_z
Ru1 Ru 0.000 0.500 0.500
Zr1 Zr 0.260 0.740 0.740
Br1 Br 0.500 0.000 0.000
Zr2 Zr 0.740 0.260 0.260


# Zr2RuBr SCAN single point on PBEsol structure
# M_tot in μB/f.u.: 0.00
# Energy relative to the elements, uncorrected in eV/atom: -0.606
# Symmetry: No. 12
# Offset from the most stable computed form in kJ/mol of atoms: 0.0
data_Zr2RuBr
_symmetry_space_group_name_H-M 'P 1'
_symmetry_Int_Tables_number 1
_symmetry_space_group_name_Hall 'P 1'
_cell_length_a 3.787
_cell_length_b 3.780
_cell_length_c 7.363
_cell_angle_alpha 75.11
_cell_angle_beta 75.10
_cell_angle_gamma 59.94
loop_
_atom_site_label
_atom_site_type_symbol
_atom_site_fract_x
_atom_site_fract_y
_atom_site_fract_z
Zr1 Zr 0.770 0.270 0.191
Ru1 Ru 0.500 0.000 0.000
Zr2 Zr 0.230 0.730 0.809
Br1 Br 0.000 0.500 0.500


# Zr2RuBr SCAN single point on PBEsol structure
# M_tot in μB/f.u.: 0.00
# Energy relative to the elements, uncorrected in eV/atom: -0.087
# Symmetry: No. 35
# Offset from the most stable computed form in kJ/mol of atoms: 50.1
data_Zr2RuBr
_symmetry_space_group_name_H-M 'P 1'
_symmetry_Int_Tables_number 1
_symmetry_space_group_name_Hall 'P 1'
_cell_length_a 3.138
_cell_length_b 3.138
_cell_length_c 9.041
_cell_angle_alpha 90.00
_cell_angle_beta 90.00
_cell_angle_gamma 114.19
loop_
_atom_site_label
_atom_site_type_symbol
_atom_site_fract_x
_atom_site_fract_y
_atom_site_fract_z
Zr1 Zr 0.500 0.500 0.742
Zr2 Zr 0.000 0.000 0.025
Br1 Br 0.000 0.000 0.509
Ru1 Ru 0.500 0.500 0.223


# Zr2RuBr SCAN single point on PBEsol structure
# M_tot in μB/f.u.: 0.00
# Energy relative to the elements, uncorrected in eV/atom: -0.266
# Symmetry: No. 99
# Offset from the most stable computed form in kJ/mol of atoms: 32.8
data_Zr2RuBr
_symmetry_space_group_name_H-M 'P 1'
_symmetry_Int_Tables_number 1
_symmetry_space_group_name_Hall 'P 1'
_cell_length_a 3.293
_cell_length_b 3.293
_cell_length_c 7.318
_cell_angle_alpha 90.00
_cell_angle_beta 90.00
_cell_angle_gamma 90.00
loop_
_atom_site_label
_atom_site_type_symbol
_atom_site_fract_x
_atom_site_fract_y
_atom_site_fract_z
Ru1 Ru 0.500 0.500 0.801
Br1 Br 0.000 0.000 0.483
Zr1 Zr 0.000 0.000 0.964
Zr2 Zr 0.500 0.500 0.251


Question: Among the records above, which one has the highest offset from the most stable computed form?
Answer: number 3